## A
Sc4Pb: single point on PBEsol structure, meta-GGA SCAN.

The structure in POSCAR format:
```
Sc4Pb
1.0
-4.008 -2.890 2.894
2.670 -3.545 -3.619
3.802 2.192 3.678
Pb Sc
1 4
Direct
0.000 0.000 0.000
0.000 0.000 0.500
0.500 0.000 0.000
0.000 0.500 0.000
0.500 0.500 0.500
```

Calculated values
Calculated volume (Å³ per cell): 145
Calculated density (g/cm³): 4.45
DOS(E_F) (states/eV/cell): 7.696
Space group: Im-3m



## B
Sc4Pb: single point on PBEsol structure, meta-GGA SCAN.

The structure in POSCAR format:
```
Sc4Pb
1.0
-3.061 1.327 2.274
-2.609 -1.054 -2.896
2.165 -7.004 3.415
Sc Pb
4 1
Direct
0.250 0.750 0.500
0.750 0.250 0.500
0.411 0.411 0.823
0.589 0.589 0.177
0.000 0.000 0.000
```

Calculated values
Calculated volume (Å³ per cell): 123
Calculated density (g/cm³): 5.21
DOS(E_F) (states/eV/cell): 6.303
Space group: I4/mmm



## C
Sc4Pb: single point on PBEsol structure, meta-GGA SCAN.

The structure in POSCAR format:
```
Sc4Pb
1.0
4.332 0.000 0.000
2.166 5.123 0.000
2.166 0.000 5.123
Sc Pb
4 1
Direct
0.610 0.196 0.584
0.806 0.584 0.804
0.390 0.804 0.416
0.194 0.416 0.196
0.000 0.000 0.000
```

Calculated values
Calculated volume (Å³ per cell): 114
Calculated density (g/cm³): 5.65
DOS(E_F) (states/eV/cell): 5.721
Space group: I4/m



Going by the energies, C is most stable and the next is 516 meV per atom up.



## A
ScPb5: single point on PBEsol structure, meta-GGA SCAN.

The structure in POSCAR format:
```
ScPb5
1.0
-2.053 1.313 -2.406
0.989 -2.449 -2.180
-10.635 -8.329 4.529
Pb Sc
5 1
Direct
0.500 0.500 0.676
0.000 0.000 0.500
0.000 0.000 0.144
0.500 0.500 0.324
0.000 0.000 0.856
0.500 0.500 0.000
```

Calculated values
Calculated volume (Å³ per cell): 167
Calculated density (g/cm³): 10.74
DOS(E_F) (states/eV/cell): 3.924
Space group: P4/mmm



## B
ScPb5: single point on PBEsol structure, meta-GGA SCAN.

The structure in POSCAR format:
```
ScPb5
1.0
3.508 0.000 0.000
0.000 5.424 0.000
-1.754 0.000 8.678
Pb Sc
5 1
Direct
0.777 0.500 0.555
0.330 0.000 0.660
0.459 0.500 0.919
0.653 0.000 0.307
0.996 0.000 0.992
0.117 0.500 0.234
```

Calculated values
Calculated volume (Å³ per cell): 165
Calculated density (g/cm³): 10.87
DOS(E_F) (states/eV/cell): 3.932
Space group: Amm2



Going by the energies, A is most stable and the next is 16 meV per atom up.



## A
Sc2PbSe: single point on PBEsol structure, meta-GGA SCAN.

The structure in POSCAR format:
```
Sc2PbSe
1.0
4.014 0.000 0.000
0.000 4.014 0.000
0.000 0.000 5.657
Se Pb Sc
1 1 2
Direct
0.000 0.000 0.000
0.500 0.500 0.500
0.500 0.500 0.000
0.000 0.000 0.500
```

Calculated values
Calculated volume (Å³ per cell): 91
Calculated density (g/cm³): 6.85
DOS(E_F) (states/eV/cell): 1.032
Space group: P4/mmm



## B
Sc2PbSe: single point on PBEsol structure, meta-GGA SCAN.

The structure in POSCAR format:
```
Sc2PbSe
1.0
-2.692 2.050 -1.492
-1.836 -1.233 -2.964
-6.497 -3.029 2.976
Pb Se Sc
1 1 2
Direct
0.000 0.000 0.000
0.500 0.500 0.500
0.764 0.764 0.709
0.236 0.236 0.291
```

Calculated values
Calculated volume (Å³ per cell): 88
Calculated density (g/cm³): 7.07
DOS(E_F) (states/eV/cell): 2.427
Space group: R-3m



## C
Sc2PbSe: single point on PBEsol structure, meta-GGA SCAN.

The structure in POSCAR format:
```
Sc2PbSe
1.0
-1.450 1.113 2.787
-3.089 -4.048 0.009
3.388 -2.579 2.793
Sc Pb Se
2 1 1
Direct
0.000 0.000 0.500
0.000 0.500 0.000
0.500 0.000 0.000
0.500 0.500 0.500
```

Calculated values
Calculated volume (Å³ per cell): 86
Calculated density (g/cm³): 7.23
DOS(E_F) (states/eV/cell): 2.225
Space group: P4/mmm



Going by the energies, A is most stable and the next is 52 meV per atom up.



## A
Sc2TePb: single point on PBEsol structure, meta-GGA SCAN.

The structure in POSCAR format:
```
Sc2TePb
1.0
5.096 0.000 0.000
2.548 4.413 0.000
2.548 1.471 4.161
Sc Pb Te
2 1 1
Direct
0.250 0.250 0.250
0.750 0.750 0.750
0.000 0.000 0.000
0.500 0.500 0.500
```

Calculated values
Calculated volume (Å³ per cell): 94
Calculated density (g/cm³): 7.54
DOS(E_F) (states/eV/cell): 3.618
Space group: Fm-3m



## B
Sc2TePb: single point on PBEsol structure, meta-GGA SCAN.

The structure in POSCAR format:
```
Sc2TePb
1.0
4.140 0.000 0.000
0.000 4.140 0.000
0.000 0.000 5.823
Te Sc Pb
1 2 1
Direct
0.000 0.000 0.000
0.500 0.500 0.000
0.000 0.000 0.500
0.500 0.500 0.500
```

Calculated values
Calculated volume (Å³ per cell): 100
Calculated density (g/cm³): 7.07
DOS(E_F) (states/eV/cell): 1.276
Space group: P4/mmm



Going by the energies, B is most stable and the next is 352 meV per atom up.



## A
ScPb2W: single point on PBEsol structure, meta-GGA SCAN.

The structure in POSCAR format:
```
ScPb2W
1.0
3.428 0.000 0.000
0.000 3.428 0.000
0.000 0.000 7.159
Pb W Sc
2 1 1
Direct
0.000 0.000 0.271
0.000 0.000 0.729
0.500 0.500 0.500
0.500 0.500 0.000
```

Calculated values
Calculated volume (Å³ per cell): 84
Calculated density (g/cm³): 12.70
DOS(E_F) (states/eV/cell): 1.947
Space group: P4/mmm



## B
ScPb2W: single point on PBEsol structure, meta-GGA SCAN.

The structure in POSCAR format:
```
ScPb2W
1.0
-0.218 -0.704 -2.985
-2.895 -4.093 1.177
-3.731 4.320 0.837
Sc Pb W
1 2 1
Direct
0.478 0.501 0.956
0.016 0.032 0.032
0.239 0.723 0.478
0.767 0.244 0.533
```

Calculated values
Calculated volume (Å³ per cell): 86
Calculated density (g/cm³): 12.39
DOS(E_F) (states/eV/cell): 2.625
Space group: Cm



Going by the energies, A is most stable and the next is 13 meV per atom up.



## A
ZrScPb: single point on PBEsol structure, meta-GGA SCAN.

The structure in POSCAR format:
```
ZrScPb
1.0
-0.286 -3.380 -0.330
3.793 -0.421 1.027
-3.097 1.544 4.466
Pb Zr Sc
1 1 1
Direct
0.001 0.001 0.002
0.334 0.334 0.669
0.665 0.665 0.329
```

Calculated values
Calculated volume (Å³ per cell): 68
Calculated density (g/cm³): 8.45
DOS(E_F) (states/eV/cell): 3.986
Space group: Imm2



## B
ZrScPb: single point on PBEsol structure, meta-GGA SCAN.

The structure in POSCAR format:
```
ZrScPb
1.0
4.792 0.000 0.000
2.396 4.150 0.000
2.396 1.383 3.913
Pb Sc Zr
1 1 1
Direct
0.250 0.250 0.250
0.000 0.000 0.000
0.500 0.500 0.500
```

Calculated values
Calculated volume (Å³ per cell): 78
Calculated density (g/cm³): 7.33
DOS(E_F) (states/eV/cell): 2.521
Space group: F-43m



Going by the energies, A is most stable and the next is 221 meV per atom up.